A relaxed structure of La6Ge3Rh. Source: Alexandria via LeMat-Bulk, functional GGA-PBE.

Space group: P2_1/m (11)
Crystal system: monoclinic
V: 297.29 Å³/f.u.
DFT total energy: -56.89 eV/f.u.

abc: 11.1145 4.2629 13.4652
angles: 90.00 111.26 90.00
Fractional coordinates of all 20 atoms:
La1 0.0121 0.2500 0.3694
La2 0.0827 0.2500 0.9086
La3 0.2599 0.7500 0.3305
La4 0.3377 0.7500 0.1155
La5 0.3532 0.7500 0.7818
La6 0.3970 0.2500 0.5695
La7 0.6030 0.7500 0.4305
La8 0.6468 0.2500 0.2182
La9 0.6623 0.2500 0.8845
La10 0.7401 0.2500 0.6695
La11 0.9173 0.7500 0.0914
La12 0.9879 0.7500 0.6306
Ge1 0.1312 0.2500 0.1508
Ge2 0.1804 0.7500 0.5243
Ge3 0.4173 0.2500 0.9697
Ge4 0.5827 0.7500 0.0303
Ge5 0.8196 0.2500 0.4757
Ge6 0.8688 0.7500 0.8492
Rh1 0.4301 0.2500 0.3014
Rh2 0.5699 0.7500 0.6986



A relaxed structure of La3Ge2Rh4. Source: Alexandria via LeMat-Bulk, functional GGA-PBE.

Space group: C2/m (12)
Crystal system: monoclinic
V: 196.39 Å³/f.u.
DFT total energy: -60.79 eV/f.u.

abc: 5.9287 5.9287 9.0013
angles: 110.00 110.00 41.84
Fractional coordinates of all 9 atoms:
La1 0.0000 0.0000 0.0000
La2 0.3648 0.3648 0.3081
La3 0.6352 0.6352 0.6919
Ge1 0.3543 0.3543 0.6974
Ge2 0.6457 0.6457 0.3026
Rh1 0.1486 0.1486 0.4421
Rh2 0.2844 0.2844 0.9311
Rh3 0.7156 0.7156 0.0689
Rh4 0.8514 0.8514 0.5579



A relaxed structure of La3Ge8Rh3. Source: Alexandria via LeMat-Bulk, functional GGA-PBE.

Space group: Immm (71)
Crystal system: orthorhombic
V: 282.76 Å³/f.u.
DFT total energy: -82.13 eV/f.u.

abc: 8.4699 8.4699 8.4699
angles: 150.82 102.57 84.80
Fractional coordinates of all 14 atoms:
La1 0.0000 0.0000 0.0000
La2 0.3159 0.3159 0.0000
La3 0.6841 0.6841 0.0000
Ge1 0.0246 0.6579 0.3668
Ge2 0.1760 0.8807 0.2952
Ge3 0.2911 0.6579 0.6332
Ge4 0.4145 0.1193 0.2952
Ge5 0.5855 0.8807 0.7048
Ge6 0.7089 0.3421 0.3668
Ge7 0.8240 0.1193 0.7048
Ge8 0.9754 0.3421 0.6332
Rh1 0.2898 0.5000 0.7898
Rh2 0.5000 0.0000 0.5000
Rh3 0.7102 0.5000 0.2102



A relaxed structure of La2Ge3Rh6. Source: Alexandria via LeMat-Bulk, functional GGA-PBE.

Space group: P-62m (189)
Crystal system: hexagonal
V: 201.84 Å³/f.u.
DFT total energy: -75.05 eV/f.u.

abc: 7.2254 7.2254 4.4643
angles: 90.00 90.00 120.00
Fractional coordinates of all 11 atoms:
La1 0.3333 0.6667 0.0000
La2 0.6667 0.3333 0.0000
Ge1 0.0000 0.6036 0.5000
Ge2 0.3964 0.3964 0.5000
Ge3 0.6036 0.0000 0.5000
Rh1 0.0000 0.2530 0.5000
Rh2 0.0000 0.7797 0.0000
Rh3 0.2203 0.2203 0.0000
Rh4 0.2530 0.0000 0.5000
Rh5 0.7470 0.7470 0.5000
Rh6 0.7797 0.0000 0.0000



A relaxed structure of LaGe3Rh2. Source: Alexandria via LeMat-Bulk, functional GGA-PBE.

Space group: C2/m (12)
Crystal system: monoclinic
V: 111.66 Å³/f.u.
DFT total energy: -37.73 eV/f.u.

abc: 8.5408 8.5408 9.9483
angles: 103.06 103.06 28.34
Fractional coordinates of all 18 atoms:
La1 0.0000 0.0000 0.0000
La2 0.1514 0.1514 0.6960
La3 0.8486 0.8486 0.3040
Ge1 0.0508 0.0508 0.3606
Ge2 0.2241 0.2241 0.3700
Ge3 0.3559 0.3559 0.0749
Ge4 0.3585 0.3585 0.8200
Ge5 0.5000 0.5000 0.5000
Ge6 0.6415 0.6415 0.1800
Ge7 0.6441 0.6441 0.9251
Ge8 0.7759 0.7759 0.6300
Ge9 0.9492 0.9492 0.6394
Rh1 0.2077 0.2077 0.0805
Rh2 0.3524 0.3524 0.5635
Rh3 0.4957 0.4957 0.2338
Rh4 0.5043 0.5043 0.7662
Rh5 0.6476 0.6476 0.4365
Rh6 0.7923 0.7923 0.9195



A relaxed structure of LaGe2Rh2. Source: Alexandria via LeMat-Bulk, functional GGA-PBE.

Space group: I4/mmm (139)
Crystal system: tetragonal
V: 94.65 Å³/f.u.
DFT total energy: -33.44 eV/f.u.

abc: 6.1030 6.1030 6.1030
angles: 139.59 139.59 58.48
Fractional coordinates of all 5 atoms:
La1 0.0000 0.0000 0.0000
Ge1 0.3734 0.3734 0.0000
Ge2 0.6266 0.6266 0.0000
Rh1 0.2500 0.7500 0.5000
Rh2 0.7500 0.2500 0.5000



A relaxed structure of La4Ge3Rh. Source: Alexandria via LeMat-Bulk, functional GGA-PBE.

Space group: Pmm2 (25)
Crystal system: orthorhombic
V: 210.13 Å³/f.u.
DFT total energy: -47.34 eV/f.u.

abc: 4.2602 4.4987 10.9641
angles: 90.00 90.00 90.00
Fractional coordinates of all 8 atoms:
La1 0.0000 0.0000 0.0000
La2 0.0000 0.5000 0.4728
La3 0.5000 0.0000 0.7034
La4 0.5000 0.5000 0.2075
Ge1 0.0000 0.5000 0.7662
Ge2 0.5000 0.0000 0.4091
Ge3 0.5000 0.5000 0.9223
Rh1 0.0000 0.0000 0.2627



A relaxed structure of La12Ge3Rh5. Source: Alexandria via LeMat-Bulk, functional GGA-PBE.

Space group: Ia-3d (230)
Crystal system: cubic
V: 647.93 Å³/f.u.
DFT total energy: -119.20 eV/f.u.

abc: 14.9878 14.9878 14.9878
angles: 109.47 109.47 109.47
Fractional coordinates of all 80 atoms:
La1 0.0402 0.2146 0.1289
La2 0.0402 0.3255 0.9113
La3 0.0858 0.7146 0.6745
La4 0.0858 0.8711 0.4113
La5 0.0887 0.6289 0.4142
La6 0.0887 0.9598 0.6745
La7 0.1289 0.0402 0.2146
La8 0.1289 0.5887 0.9142
La9 0.1745 0.2146 0.5858
La10 0.1745 0.4598 0.5887
La11 0.2146 0.1289 0.0402
La12 0.2146 0.5858 0.1745
La13 0.2854 0.3255 0.9142
La14 0.2854 0.4598 0.3711
La15 0.3255 0.9113 0.0402
La16 0.3255 0.9142 0.2854
La17 0.3711 0.2854 0.4598
La18 0.3711 0.5858 0.9113
La19 0.4113 0.0858 0.8711
La20 0.4113 0.8255 0.5402
La21 0.4142 0.0887 0.6289
La22 0.4142 0.8255 0.7854
La23 0.4598 0.3711 0.2854
La24 0.4598 0.5887 0.1745
La25 0.5402 0.4113 0.8255
La26 0.5402 0.6289 0.7146
La27 0.5858 0.1745 0.2146
La28 0.5858 0.9113 0.3711
La29 0.5887 0.1745 0.4598
La30 0.5887 0.9142 0.1289
La31 0.6289 0.4142 0.0887
La32 0.6289 0.7146 0.5402
La33 0.6745 0.0858 0.7146
La34 0.6745 0.0887 0.9598
La35 0.7146 0.5402 0.6289
La36 0.7146 0.6745 0.0858
La37 0.7854 0.4142 0.8255
La38 0.7854 0.8711 0.9598
La39 0.8255 0.5402 0.4113
La40 0.8255 0.7854 0.4142
La41 0.8711 0.4113 0.0858
La42 0.8711 0.9598 0.7854
La43 0.9113 0.0402 0.3255
La44 0.9113 0.3711 0.5858
La45 0.9142 0.1289 0.5887
La46 0.9142 0.2854 0.3255
La47 0.9598 0.6745 0.0887
La48 0.9598 0.7854 0.8711
Ge1 0.1250 0.2500 0.3750
Ge2 0.1250 0.3750 0.7500
Ge3 0.2500 0.3750 0.1250
Ge4 0.2500 0.8750 0.6250
Ge5 0.3750 0.1250 0.2500
Ge6 0.3750 0.7500 0.1250
Ge7 0.6250 0.2500 0.8750
Ge8 0.6250 0.8750 0.7500
Ge9 0.7500 0.1250 0.3750
Ge10 0.7500 0.6250 0.8750
Ge11 0.8750 0.6250 0.2500
Ge12 0.8750 0.7500 0.6250
Rh1 0.0000 0.0000 0.0000
Rh2 0.0000 0.0000 0.5000
Rh3 0.0000 0.5000 0.0000
Rh4 0.0000 0.5000 0.5000
Rh5 0.1250 0.7500 0.8750
Rh6 0.1250 0.8750 0.2500
Rh7 0.2500 0.1250 0.8750
Rh8 0.2500 0.6250 0.3750
Rh9 0.3750 0.2500 0.6250
Rh10 0.3750 0.6250 0.7500
Rh11 0.5000 0.0000 0.0000
Rh12 0.5000 0.0000 0.5000
Rh13 0.5000 0.5000 0.0000
Rh14 0.5000 0.5000 0.5000
Rh15 0.6250 0.3750 0.2500
Rh16 0.6250 0.7500 0.3750
Rh17 0.7500 0.3750 0.6250
Rh18 0.7500 0.8750 0.1250
Rh19 0.8750 0.1250 0.7500
Rh20 0.8750 0.2500 0.1250



A relaxed structure of LaGe2Rh2. Source: Alexandria via LeMat-Bulk, functional GGA-PBE.

Space group: I4/mmm (139)
Crystal system: tetragonal
V: 97.20 Å³/f.u.
DFT total energy: -32.60 eV/f.u.

abc: 5.8721 5.8721 5.8721
angles: 135.76 135.76 64.35
Fractional coordinates of all 5 atoms:
La1 0.0000 0.0000 0.0000
Ge1 0.2500 0.7500 0.5000
Ge2 0.7500 0.2500 0.5000
Rh1 0.3658 0.3658 0.0000
Rh2 0.6342 0.6342 0.0000